one) Here is a geometry-optimized Ag2OsAu structure from Alexandria. Energies are from PBE-GGA.

Values from the calculation:
Density of states at the Fermi level ... 3.45 states/eV per cell
ρ ... 14.83 g/cm³
Calculated volume ... 67.5 Å³/cell

```
data_Ag2OsAu
_cell_length_a 2.690
_cell_length_b 4.361
_cell_length_c 5.757
_cell_angle_alpha 90.00
_cell_angle_beta 90.00
_cell_angle_gamma 90.00
_space_group_name_H-M_alt 'P m m m'
_space_group_IT_number 47
_space_group_name_Hall '-P 2 2'
loop_
_atom_site_label
_atom_site_type_symbol
_atom_site_fract_x
_atom_site_fract_y
_atom_site_fract_z
Ag1 Ag 0.000 0.000 0.241
Os1 Os 0.500 0.500 0.000
Au1 Au 0.500 0.500 0.500
```

two) Here is a geometry-optimized Ag2OsAu structure from Alexandria. Energies are from PBE-GGA.

Values from the calculation:
Density of states at the Fermi level ... 9.70 states/eV per cell
ρ ... 14.76 g/cm³
Calculated volume ... 135.7 Å³/cell

```
data_Ag2OsAu
_cell_length_a 4.048
_cell_length_b 4.048
_cell_length_c 8.277
_cell_angle_alpha 90.00
_cell_angle_beta 90.00
_cell_angle_gamma 90.00
_space_group_name_H-M_alt 'I 4/m m m'
_space_group_IT_number 139
_space_group_name_Hall '-I 4 2'
loop_
_atom_site_label
_atom_site_type_symbol
_atom_site_fract_x
_atom_site_fract_y
_atom_site_fract_z
Ag1 Ag 0.000 0.500 0.250
Os1 Os 0.000 0.000 0.000
Au1 Au 0.000 0.000 0.500
```

three) Here is a geometry-optimized Ag2OsAu structure from Alexandria. Energies are from PBE-GGA.

Values from the calculation:
Density of states at the Fermi level ... 13.41 states/eV per cell
ρ ... 14.63 g/cm³
Calculated volume ... 273.7 Å³/cell

```
data_Ag2OsAu
_cell_length_a 6.493
_cell_length_b 6.493
_cell_length_c 6.493
_cell_angle_alpha 90.00
_cell_angle_beta 90.00
_cell_angle_gamma 90.00
_space_group_name_H-M_alt 'F m -3 m'
_space_group_IT_number 225
_space_group_name_Hall '-F 4 2 3'
loop_
_atom_site_label
_atom_site_type_symbol
_atom_site_fract_x
_atom_site_fract_y
_atom_site_fract_z
Ag1 Ag 0.250 0.250 0.250
Os1 Os 0.000 0.000 0.000
Au1 Au 0.000 0.000 0.500
```

Energies relative to the most stable structure, in eV/atom: one) 0.000; two) 0.175; three) 0.256.

one) Here is a geometry-optimized Ag2OsAu structure from Alexandria. Energies are from PBE-GGA.

Values from the calculation:
Density of states at the Fermi level ... 6.08 states/eV per cell
ρ ... 14.98 g/cm³
Calculated volume ... 200.6 Å³/cell

```
data_Ag2OsAu
_cell_length_a 2.7984
_cell_length_b 2.7984
_cell_length_c 29.5730
_cell_angle_alpha 90.00
_cell_angle_beta 90.00
_cell_angle_gamma 120.00
_space_group_name_H-M_alt 'R -3 m'
_space_group_IT_number 166
_space_group_name_Hall '-R 3 2"'
loop_
_atom_site_label
_atom_site_type_symbol
_atom_site_fract_x
_atom_site_fract_y
_atom_site_fract_z
Ag1 Ag 0.0000 0.0000 0.2474
Os1 Os 0.0000 0.0000 0.5000
Au1 Au 0.0000 0.0000 0.0000
```

two) Here is a geometry-optimized Ag2OsAu structure from Alexandria. Energies are from PBE-GGA.

Values from the calculation:
Density of states at the Fermi level ... 7.06 states/eV per cell
ρ ... 14.91 g/cm³
Calculated volume ... 134.3 Å³/cell

```
data_Ag2OsAu
_cell_length_a 5.751
_cell_length_b 8.674
_cell_length_c 2.693
_cell_angle_alpha 90.00
_cell_angle_beta 90.00
_cell_angle_gamma 90.00
_space_group_name_H-M_alt 'C m m m'
_space_group_IT_number 65
_space_group_name_Hall '-C 2 2'
loop_
_atom_site_label
_atom_site_type_symbol
_atom_site_fract_x
_atom_site_fract_y
_atom_site_fract_z
Ag1 Ag 0.250 0.250 0.000
Os1 Os 0.000 0.000 0.500
Au1 Au 0.000 0.500 0.500
```

Energies relative to the most stable structure, in eV/atom: one) 0.000; two) 0.170.